[1]
# RbP

RbP after structural relaxation (PBE, the Alexandria database).

a = 4.9830 Å, b = 4.9830 Å, c = 4.9830 Å
α = 59.88°, β = 59.88°, γ = 59.88°
With the nearest neighbours (Å) after each atom.
Atoms (fractional coordinates):
P 0.5000 0.5000 0.5000  6 Rb 3.52
Rb 0.0000 0.0000 0.0000  6 P 3.52

Values from the calculation:
- Density of states at the Fermi level: 0.917 states/eV/f.u.
- SG: No. 166
- Relative energy among the computed polymorphs: 993 meV per atom

=====

[2]
# Rb4P

Rb4P after structural relaxation (PBE, the Alexandria database).

a = 6.8490 Å, b = 6.8490 Å, c = 6.8490 Å
α = 90.00°, β = 90.00°, γ = 90.00°
With the nearest neighbours (Å) after each atom.
Atoms (fractional coordinates):
P 0.5000 0.5000 0.5000  6 Rb 3.42
Rb 0.0000 0.0000 0.0000  12 Rb 4.84
Rb 0.5000 0.0000 0.5000  2 P 3.42
Rb 0.0000 0.5000 0.5000  2 P 3.42
Rb 0.5000 0.5000 0.0000  2 P 3.42

Values from the calculation:
- Density of states at the Fermi level: 5.776 states/eV/f.u.
- SG: No. 221
- Relative energy among the computed polymorphs: 29 meV per atom

=====

[3]
# Rb3P

Rb3P after structural relaxation (PBE, the Alexandria database).

a = 5.9556 Å, b = 5.9573 Å, c = 5.9617 Å
α = 119.98°, β = 119.97°, γ = 90.00°
With the nearest neighbours (Å) after each atom.
Atoms (fractional coordinates):
P 0.0000 0.9175 0.0000  8 Rb 3.65
Rb 0.2500 0.6666 0.5000  4 P 3.65, 4 Rb 3.65
Rb 0.5000 0.4159 0.0000  8 Rb 3.65
Rb 0.7500 0.1666 0.5000  4 P 3.65, 4 Rb 3.65

Values from the calculation:
- DFT total energy: -2.15 eV per atom
- SG: No. 44

=====

[4]
# RbP

RbP after structural relaxation (PBE, the Alexandria database).

a = 5.0489 Å, b = 4.4832 Å, c = 7.3187 Å
α = 90.00°, β = 90.23°, γ = 90.00°
With the nearest neighbours (Å) after each atom.
Atoms (fractional coordinates):
Rb 0.3685 0.0000 0.5767  8 P 3.52-3.54
Rb 0.8366 0.0000 0.0768  4 P 3.46
P 0.8694 0.5000 0.4367  1 P 2.05
P 0.8715 0.5000 0.7172  1 P 2.05

Values from the calculation:
- Density of states at the Fermi level: 1.940 states/eV/f.u.
- SG: No. 6
- Relative energy among the computed polymorphs: 170 meV per atom

=====

[5]
# RbP

RbP after structural relaxation (PBE, the Alexandria database).

a = 9.9948 Å, b = 9.9948 Å, c = 9.9948 Å
α = 90.00°, β = 90.00°, γ = 90.00°
With the nearest neighbours (Å) after each atom.
Atoms (fractional coordinates):
Rb 0.2828 0.2828 0.2828  4 P 3.48-3.55
Rb 0.2828 0.7172 0.7172  4 P 3.48-3.55
Rb 0.7172 0.2828 0.7172  4 P 3.48-3.55
Rb 0.7172 0.7172 0.2828  4 P 3.48-3.55
Rb 0.7828 0.7828 0.7828  4 P 3.48-3.55
Rb 0.7828 0.2172 0.2172  4 P 3.48-3.55
Rb 0.2172 0.7828 0.2172  4 P 3.48-3.55
Rb 0.2172 0.2172 0.7828  4 P 3.48-3.55
P 0.0815 0.0815 0.0815  3 P 2.30
P 0.0815 0.9185 0.9185  3 P 2.30
P 0.9185 0.0815 0.9185  3 P 2.30
P 0.9185 0.9185 0.0815  3 P 2.30
P 0.5815 0.5815 0.5815  3 P 2.30
P 0.5815 0.4185 0.4185  3 P 2.30
P 0.4185 0.5815 0.4185  3 P 2.30
P 0.4185 0.4185 0.5815  3 P 2.30

Values from the calculation:
- Density of states at the Fermi level: 2.999 states/eV/f.u.
- SG: No. 217
- Relative energy among the computed polymorphs: 458 meV per atom

=====

[6]
# RbP

RbP after structural relaxation (PBE, the Alexandria database).

a = 6.2266 Å, b = 6.9082 Å, c = 12.0544 Å
α = 90.00°, β = 90.00°, γ = 90.00°
With the nearest neighbours (Å) after each atom.
Atoms (fractional coordinates):
Rb 0.8351 0.6400 0.2151  5 P 3.32-3.51, 1 Rb 3.66
Rb 0.3351 0.8600 0.7849  5 P 3.32-3.51, 1 Rb 3.66
Rb 0.1649 0.1400 0.2849  5 P 3.32-3.51, 1 Rb 3.66
Rb 0.6649 0.3600 0.7151  5 P 3.32-3.51, 1 Rb 3.66
Rb 0.1019 0.3814 0.9175  5 P 3.35-3.54, 1 Rb 3.66
Rb 0.6019 0.1186 0.0825  5 P 3.35-3.54, 1 Rb 3.66
Rb 0.8981 0.8814 0.5825  5 P 3.35-3.54, 1 Rb 3.66
Rb 0.3981 0.6186 0.4175  5 P 3.35-3.54, 1 Rb 3.66
P 0.3350 0.6915 0.0944  2 P 2.27-2.29
P 0.8350 0.8085 0.9056  2 P 2.27-2.29
P 0.6650 0.1915 0.4056  2 P 2.27-2.29
P 0.1650 0.3085 0.5944  2 P 2.27-2.29
P 0.4069 0.0911 0.5284  2 P 2.27-2.29
P 0.9069 0.4089 0.4716  2 P 2.27-2.29
P 0.5931 0.5911 0.9716  2 P 2.27-2.29
P 0.0931 0.9089 0.0284  2 P 2.27-2.29

Values from the calculation:
- SG: No. 19
- Relative energy among the computed polymorphs: 0 meV per atom

=====

[7]
# RbRe3P

RbRe3P after structural relaxation (PBE, the Alexandria database).

a = 4.5885 Å, b = 4.5885 Å, c = 4.5885 Å
α = 90.00°, β = 90.00°, γ = 90.00°
With the nearest neighbours (Å) after each atom.
Atoms (fractional coordinates):
Re 0.0000 0.5000 0.0000  2 P 2.29
Re 0.0000 0.0000 0.5000  2 P 2.29
Re 0.5000 0.0000 0.0000  2 P 2.29
Rb 0.5000 0.5000 0.5000  12 Re 3.24
P 0.0000 0.0000 0.0000  6 Re 2.29

Values from the calculation:
- Density of states at the Fermi level: 6.796 states/eV/f.u.
- SG: No. 221
- Relative energy among the computed polymorphs: 0 meV per atom

=====

[8]
# Rb2ReP

Rb2ReP after structural relaxation (PBE, the Alexandria database).

a = 13.1189 Å, b = 13.1189 Å, c = 9.5494 Å
α = 46.61°, β = 46.61°, γ = 90.00°
With the nearest neighbours (Å) after each atom.
Atoms (fractional coordinates):
Re 0.0000 0.0000 0.0000  2 P 2.27
Re 0.7500 0.2500 0.5000  2 P 2.27
Rb 0.4205 0.1250 0.2500  2 P 3.38, 2 Re 3.74
Rb 0.3295 0.6250 0.2500  2 P 3.38, 2 Re 3.74
Rb 0.3750 0.5795 0.7500  2 P 3.38, 2 Re 3.74
Rb 0.8750 0.6705 0.7500  2 P 3.38, 2 Re 3.74
P 0.5000 0.5000 0.0000  2 Re 2.27
P 0.2500 0.7500 0.5000  2 Re 2.27

Values from the calculation:
- DFT total energy: -4.38 eV per atom
- Density of states at the Fermi level: 3.663 states/eV/f.u.
- SG: No. 122

=====

[9]
# RbRe3P

RbRe3P after structural relaxation (PBE, the Alexandria database).

a = 4.7105 Å, b = 4.7105 Å, c = 4.7105 Å
α = 90.00°, β = 90.00°, γ = 90.00°
With the nearest neighbours (Å) after each atom.
Atoms (fractional coordinates):
Re 0.0000 0.5000 0.0000  2 Rb 2.36
Re 0.0000 0.0000 0.5000  2 Rb 2.36
Re 0.5000 0.0000 0.0000  2 Rb 2.36
Rb 0.0000 0.0000 0.0000  6 Re 2.36
P 0.5000 0.5000 0.5000  12 Re 3.33

Values from the calculation:
- Density of states at the Fermi level: 7.260 states/eV/f.u.
- SG: No. 221
- Relative energy among the computed polymorphs: 2790 meV per atom

=====

[10]
# Rb6ReP4

Rb6ReP4 after structural relaxation (PBE, the Alexandria database).

a = 8.2572 Å, b = 10.6038 Å, c = 10.6038 Å
α = 120.00°, β = 90.00°, γ = 90.00°
With the nearest neighbours (Å) after each atom.
Atoms (fractional coordinates):
Rb 0.4564 0.7192 0.8596  4 P 3.41-3.63
Rb 0.4564 0.1404 0.2808  4 P 3.41-3.63
Rb 0.4564 0.1404 0.8596  4 P 3.41-3.63
Rb 0.9564 0.2808 0.1404  4 P 3.41-3.63
Rb 0.9564 0.8596 0.7192  4 P 3.41-3.63
Rb 0.9564 0.8596 0.1404  4 P 3.41-3.63
Rb 0.6381 0.9347 0.4674  5 P 3.42-3.66, 1 Re 3.76
Rb 0.6381 0.5326 0.0653  5 P 3.42-3.66, 1 Re 3.76
Rb 0.6381 0.5326 0.4674  5 P 3.42-3.66, 1 Re 3.76
Rb 0.1381 0.0653 0.5326  5 P 3.42-3.66, 1 Re 3.76
Rb 0.1381 0.4674 0.9347  5 P 3.42-3.66, 1 Re 3.76
Rb 0.1381 0.4674 0.5326  5 P 3.42-3.66, 1 Re 3.76
Re 0.7430 0.3333 0.6667  4 P 2.28-2.29
Re 0.2430 0.6667 0.3333  4 P 2.28-2.29
P 0.4659 0.3333 0.6667  1 Re 2.29
P 0.9659 0.6667 0.3333  1 Re 2.29
P 0.8333 0.5679 0.7840  1 Re 2.28
P 0.8333 0.2160 0.4321  1 Re 2.28
P 0.8333 0.2160 0.7840  1 Re 2.28
P 0.3333 0.4321 0.2160  1 Re 2.28
P 0.3333 0.7840 0.5679  1 Re 2.28
P 0.3333 0.7840 0.2160  1 Re 2.28

Values from the calculation:
- DFT total energy: -3.95 eV per atom
- Density of states at the Fermi level: 2.887 states/eV/f.u.
- SG: No. 186

=====

[11]
# Rb3ReP

Rb3ReP after structural relaxation (PBE, the Alexandria database).

a = 6.5411 Å, b = 6.5411 Å, c = 6.5411 Å
α = 90.00°, β = 90.00°, γ = 90.00°
With the nearest neighbours (Å) after each atom.
Atoms (fractional coordinates):
Re 0.5000 0.5000 0.5000  12 Rb 4.63
Rb 0.0000 0.5000 0.0000  2 P 3.27
Rb 0.0000 0.0000 0.5000  2 P 3.27
Rb 0.5000 0.0000 0.0000  2 P 3.27
P 0.0000 0.0000 0.0000  6 Rb 3.27

Values from the calculation:
- Density of states at the Fermi level: 10.869 states/eV/f.u.
- SG: No. 221
- Relative energy among the computed polymorphs: 0 meV per atom

=====

[12]
# RbReP2S8

RbReP2S8 after structural relaxation (PBE, the Alexandria database).

a = 5.9347 Å, b = 5.9347 Å, c = 10.4291 Å
α = 73.47°, β = 73.47°, γ = 60.00°
With the nearest neighbours (Å) after each atom.
Atoms (fractional coordinates):
Rb 0.5000 0.5000 0.5000  6 S 3.57
Re 0.0000 0.0000 0.0000  6 S 2.37
P 0.2674 0.2674 0.1977  4 S 1.98-2.12
P 0.7326 0.7326 0.8023  4 S 1.98-2.12
S 0.2003 0.2003 0.3991  1 P 1.98
S 0.6274 0.2924 0.1326  1 P 2.12, 1 Re 2.37
S 0.7997 0.7997 0.6009  1 P 1.98
S 0.9476 0.6274 0.1326  1 P 2.12, 1 Re 2.37
S 0.0524 0.3726 0.8674  1 P 2.12, 1 Re 2.37
S 0.2924 0.9476 0.1326  1 P 2.12, 1 Re 2.37
S 0.7076 0.0524 0.8674  1 P 2.12, 1 Re 2.37
S 0.3726 0.7076 0.8674  1 P 2.12, 1 Re 2.37

Values from the calculation:
- Energy relative to the elements, uncorrected: -0.30 eV/atom
- Density of states at the Fermi level: 6.036 states/eV/f.u.
- SG: No. 148

=====

[13]
# RbRePS2

RbRePS2 after structural relaxation (PBE, the Alexandria database).

a = 4.8459 Å, b = 4.8459 Å, c = 4.6675 Å
α = 90.00°, β = 90.00°, γ = 90.00°
With the nearest neighbours (Å) after each atom.
Atoms (fractional coordinates):
Re 0.0000 0.0000 0.0000  2 P 2.33, 4 S 2.42
S 0.0000 0.5000 0.0000  2 Re 2.42
S 0.5000 0.0000 0.0000  2 Re 2.42
Rb 0.5000 0.5000 0.5000  8 S 3.36, 4 P 3.43
P 0.0000 0.0000 0.5000  2 Re 2.33

Values from the calculation:
- Energy relative to the elements, uncorrected: -0.06 eV/atom
- Density of states at the Fermi level: 3.784 states/eV/f.u.
- SG: No. 123
- Relative energy among the computed polymorphs: 0 meV per atom

=====

[14]
# RbRePS2

RbRePS2 after structural relaxation (PBE, the Alexandria database).

a = 5.1375 Å, b = 5.1375 Å, c = 5.1216 Å
α = 90.00°, β = 90.00°, γ = 90.00°
With the nearest neighbours (Å) after each atom.
Atoms (fractional coordinates):
Re 0.5000 0.5000 0.5000  8 S 3.63, 4 P 3.63
S 0.0000 0.5000 0.0000  2 Rb 2.57
S 0.5000 0.0000 0.0000  2 Rb 2.57
Rb 0.0000 0.0000 0.0000  2 P 2.56, 4 S 2.57
P 0.0000 0.0000 0.5000  2 Rb 2.56

Values from the calculation:
- Energy relative to the elements, uncorrected: 2.95 eV/atom
- Density of states at the Fermi level: 15.062 states/eV/f.u.
- SG: No. 123
- Relative energy among the computed polymorphs: 3008 meV per atom

=====

[15]
# RbRePW2

RbRePW2 after structural relaxation (PBE, the Alexandria database).

a = 4.6671 Å, b = 4.5901 Å, c = 4.6671 Å
α = 90.00°, β = 90.00°, γ = 90.00°
With the nearest neighbours (Å) after each atom.
Atoms (fractional coordinates):
Re 0.0000 0.5000 0.0000  2 P 2.30
Rb 0.5000 0.5000 0.5000  8 W 3.27, 4 Re 3.30
W 0.0000 0.0000 0.5000  2 P 2.33
W 0.5000 0.0000 0.0000  2 P 2.33
P 0.0000 0.0000 0.0000  2 Re 2.30, 4 W 2.33

Values from the calculation:
- DFT total energy: -7.29 eV per atom
- Density of states at the Fermi level: 6.053 states/eV/f.u.
- SG: No. 123

=====

[16]
# RbZr2ReP

RbZr2ReP after structural relaxation (PBE, the Alexandria database).

a = 5.2820 Å, b = 4.6535 Å, c = 5.2820 Å
α = 90.00°, β = 90.00°, γ = 90.00°
With the nearest neighbours (Å) after each atom.
Atoms (fractional coordinates):
Re 0.0000 0.0000 0.0000  2 P 2.33
Rb 0.5000 0.5000 0.5000  8 Zr 3.52, 4 P 3.73
Zr 0.0000 0.0000 0.5000  2 Re 2.64
Zr 0.5000 0.0000 0.0000  2 Re 2.64
P 0.0000 0.5000 0.0000  2 Re 2.33

Values from the calculation:
- DFT total energy: -6.59 eV per atom
- Density of states at the Fermi level: 3.674 states/eV/f.u.
- SG: No. 123

=====

[17]
# RbPRh3

RbPRh3 after structural relaxation (PBE, the Alexandria database).

a = 4.5623 Å, b = 4.5623 Å, c = 4.5623 Å
α = 90.00°, β = 90.00°, γ = 90.00°
With the nearest neighbours (Å) after each atom.
Atoms (fractional coordinates):
P 0.0000 0.0000 0.0000  6 Rh 2.28
Rh 0.0000 0.5000 0.0000  2 P 2.28
Rh 0.0000 0.0000 0.5000  2 P 2.28
Rh 0.5000 0.0000 0.0000  2 P 2.28
Rb 0.5000 0.5000 0.5000  12 Rh 3.23

Values from the calculation:
- Density of states at the Fermi level: 5.701 states/eV/f.u.
- SG: No. 221
- Relative energy among the computed polymorphs: 0 meV per atom

=====

[18]
# RbP3Rh3

RbP3Rh3 after structural relaxation (PBE, the Alexandria database).

a = 6.6470 Å, b = 6.6468 Å, c = 9.0844 Å
α = 68.54°, β = 68.54°, γ = 60.00°
With the nearest neighbours (Å) after each atom.
Atoms (fractional coordinates):
Rb 0.6675 0.6675 0.9975  6 P 3.47-3.51, 3 Rh 3.83, 3 Rb 3.84
Rb 0.3325 0.3325 0.0025  6 P 3.47-3.51, 3 Rh 3.83, 3 Rb 3.84
P 0.4169 0.7855 0.6796  4 Rh 2.28-2.38
P 0.7855 0.1181 0.6796  4 Rh 2.28-2.38
P 0.1181 0.4168 0.6796  4 Rh 2.28-2.38
P 0.8819 0.5832 0.3204  4 Rh 2.28-2.38
P 0.2145 0.8819 0.3204  4 Rh 2.28-2.38
P 0.5831 0.2145 0.3204  4 Rh 2.28-2.38
Rh 0.2118 0.5170 0.3906  4 P 2.28-2.38
Rh 0.8806 0.2118 0.3906  4 P 2.28-2.38
Rh 0.5170 0.8806 0.3905  4 P 2.28-2.38
Rh 0.4830 0.1194 0.6095  4 P 2.28-2.38
Rh 0.1194 0.7882 0.6094  4 P 2.28-2.38
Rh 0.7882 0.4830 0.6094  4 P 2.28-2.38

Values from the calculation:
- DFT total energy: -6.17 eV per atom
- Density of states at the Fermi level: 4.298 states/eV/f.u.
- SG: No. 148

=====

[19]
# Rb2PRh

Rb2PRh after structural relaxation (PBE, the Alexandria database).

a = 12.7100 Å, b = 12.7100 Å, c = 9.2551 Å
α = 46.63°, β = 46.63°, γ = 90.00°
With the nearest neighbours (Å) after each atom.
Atoms (fractional coordinates):
P 0.5000 0.5000 0.0000  2 Rh 2.21
P 0.2500 0.7500 0.5000  2 Rh 2.21
Rh 0.0000 0.0000 0.0000  2 P 2.21
Rh 0.7500 0.2500 0.5000  2 P 2.21
Rb 0.8251 0.1250 0.2500  2 Rh 3.29, 2 P 3.64
Rb 0.9249 0.6250 0.2500  2 Rh 3.29, 2 P 3.64
Rb 0.3750 0.1749 0.7500  2 Rh 3.29, 2 P 3.64
Rb 0.8750 0.0751 0.7500  2 Rh 3.29, 2 P 3.64

Values from the calculation:
- DFT total energy: -3.84 eV per atom
- Density of states at the Fermi level: 1.415 states/eV/f.u.
- SG: No. 122

=====

[20]
# Rb2P2Rh

Rb2P2Rh after structural relaxation (PBE, the Alexandria database).

a = 6.2249 Å, b = 6.2249 Å, c = 5.7336 Å
α = 90.00°, β = 90.00°, γ = 90.00°
With the nearest neighbours (Å) after each atom.
Atoms (fractional coordinates):
P 0.3703 0.8703 0.0000  1 P 2.28, 2 Rh 2.44
P 0.8703 0.6297 0.0000  1 P 2.28, 2 Rh 2.44
P 0.6297 0.1297 0.0000  1 P 2.28, 2 Rh 2.44
P 0.1297 0.3703 0.0000  1 P 2.28, 2 Rh 2.44
Rh 0.0000 0.0000 0.0000  4 P 2.44
Rh 0.5000 0.5000 0.0000  4 P 2.44
Rb 0.1821 0.6821 0.5000  5 Rb 3.21-3.23, 6 P 3.31-3.48
Rb 0.6821 0.8179 0.5000  5 Rb 3.21-3.23, 6 P 3.31-3.48
Rb 0.8179 0.3179 0.5000  5 Rb 3.21-3.23, 6 P 3.31-3.48
Rb 0.3179 0.1821 0.5000  5 Rb 3.21-3.23, 6 P 3.31-3.48

Values from the calculation:
- DFT total energy: -4.30 eV per atom
- Density of states at the Fermi level: 2.124 states/eV/f.u.
- SG: No. 127

=====

no.,spin magnetization (μB/atom)
1,1.000
2,0.161
3,0.000
4,0.000
5,0.177
6,0.000
7,0.000
8,0.522
9,0.394
10,0.000
11,1.000
12,0.000
13,0.000
14,0.021
15,0.009
16,0.000
17,0.000
18,0.000
19,0.000
20,0.000